Record 1
VASP calculation (PBEsol) on an optimized crystal structure of Re2AsSe.

a = 4.727 Å, b = 4.727 Å, c = 4.727 Å
α = 129.58°, β = 129.58°, γ = 74.08°
Positions (direct):
Re 0.000 0.000 0.000
Re 0.750 0.250 0.500
As 0.250 0.750 0.500
Se 0.500 0.500 0.000

Results
Total DFT energy (no corrections) (eV/atom): -8.22
ΔE to the lowest computed polymorph (meV per atom): 637
Space group: I-4m2 (119)
Raw formation energy (eV per atom): 0.684

Record 2
VASP calculation (PBEsol) on an optimized crystal structure of ReAs2Se.

a = 2.976 Å, b = 2.976 Å, c = 8.057 Å
α = 90.00°, β = 90.00°, γ = 90.00°
Positions (direct):
Re 0.000 0.000 0.000
As 0.000 0.000 0.516
As 0.500 0.500 0.795
Se 0.500 0.500 0.185

Results
Total DFT energy (no corrections) (eV/atom): -6.59
Space group: P4mm (99)
Raw formation energy (eV per atom): 0.257

Record 3
VASP calculation (PBEsol) on an optimized crystal structure of ReTcAs2Se.

a = 4.651 Å, b = 4.651 Å, c = 5.130 Å
α = 90.00°, β = 90.00°, γ = 90.00°
Positions (direct):
Re 0.000 0.000 0.000
Tc 0.500 0.500 0.500
As 0.000 0.500 0.000
As 0.500 0.000 0.000
Se 0.000 0.000 0.500

Results
Total DFT energy (no corrections) (eV/atom): -6.39
Space group: P4/mmm (123)
Raw formation energy (eV per atom): 1.342

no.,density (g/cm³)
1,14.28
2,9.66
3,7.68